Entry from the Alexandria database: crystalline Ac2BiTe at its relaxed geometry (PBE-GGA).

Results
- E (eV/atom) = -4.902
- formation energy (no corrections) (eV/atom) = -1.092
- volume (Å³/cell) = 141.1
- symmetry = P4/mmm, No. 123
- offset from the most stable computed form (meV per atom) = 181

Cell lengths 4.134, 4.134, 8.256 Å; angles 90.00, 90.00, 90.00 degrees
Positions (direct):
Ac1 0.000 0.000 0.245
Ac2 0.000 0.000 0.755
Bi1 0.500 0.500 0.000
Te1 0.500 0.500 0.500